# 1
Density functional theory data (GGA-PBE) for Y5Er3As8 after structural relaxation.

Computed properties:
* size of the total moment: 0.00 μB per cell
* symmetry: R-3m, No. 166
* ΔE_f: -1.54 eV/atom
* volume: 392 Å³/cell
* Fermi-level density of states: 2.894 states/eV per cell

abc: 8.2158 8.2158 8.2160
angles: 60.00 60.00 60.00
Closest atoms and distances in Å follow each position.
Fractional coordinates of all 16 atoms:
Y  0.5000  0.0000  0.0000  6 As 2.92
Y  0.5000  0.5000  0.0000  6 As 2.92
Y  0.0000  0.0000  0.0000  6 As 2.90
Y  0.0000  0.5000  0.0000  6 As 2.92
Y  0.5000  0.5000  0.5000  6 As 2.90
Er  0.5000  0.0000  0.5000  6 As 2.89
Er  0.0000  0.0000  0.5000  6 As 2.89
Er  0.0000  0.5000  0.5000  6 As 2.89
As  0.2500  0.2500  0.7480  2 Er 2.89, 4 Y 2.90-2.92
As  0.2500  0.7520  0.7480  2 Er 2.89, 4 Y 2.90-2.92
As  0.7520  0.2500  0.7480  2 Er 2.89, 4 Y 2.90-2.92
As  0.7510  0.7510  0.7471  3 Er 2.89, 3 Y 2.92
As  0.7500  0.7500  0.2520  2 Er 2.89, 4 Y 2.90-2.92
As  0.7500  0.2480  0.2520  2 Er 2.89, 4 Y 2.90-2.92
As  0.2480  0.7500  0.2520  2 Er 2.89, 4 Y 2.90-2.92
As  0.2490  0.2490  0.2529  3 Er 2.89, 3 Y 2.92



# 2
Density functional theory data (GGA-PBE) for Ti8Ga2As after structural relaxation.

Computed properties:
* size of the total moment: 0.00 μB per cell
* symmetry: C2/m, No. 12
* ΔE_f: -0.29 eV/atom
* volume: 189 Å³/cell
* Fermi-level density of states: 9.530 states/eV per cell

abc: 4.2866 5.4427 8.6646
angles: 104.98 104.32 90.00
Closest atoms and distances in Å follow each position.
Fractional coordinates of all 11 atoms:
Ti  0.4065  0.5010  0.8131  1 As 2.75, 7 Ti 2.75-3.03, 2 Ga 2.75
Ti  0.6539  0.0212  0.3078  1 As 2.56, 3 Ga 2.67-2.74, 3 Ti 2.75-2.81
Ti  0.7697  0.6718  0.5395  4 Ga 2.70-2.99, 5 Ti 2.81-2.86
Ti  0.9768  0.2443  0.9536  2 As 2.61, 1 Ga 2.61, 1 Ti 2.68
Ti  0.2303  0.3282  0.4605  4 Ga 2.70-2.99, 5 Ti 2.81-2.86
Ti  0.3461  0.9788  0.6922  1 As 2.56, 3 Ga 2.67-2.74, 3 Ti 2.75-2.81
Ti  0.5935  0.4990  0.1869  1 As 2.75, 7 Ti 2.75-3.03, 2 Ga 2.75
Ti  0.0232  0.7557  0.0464  2 As 2.61, 1 Ga 2.61, 1 Ti 2.68
Ga  0.8209  0.2413  0.6418  9 Ti 2.61-2.75
Ga  0.1791  0.7587  0.3582  9 Ti 2.61-2.75
As  0.5000  0.0000  0.0000  8 Ti 2.56-2.75



# 3
Density functional theory data (GGA-PBE) for KRb2HfI6 after structural relaxation.

Computed properties:
* excess energy over the best structure of this formula in the dataset: 0 kJ/mol of formula units
* size of the total moment: 2.01 μB per cell
* symmetry: R-3m, No. 166
* ΔE_f (raw): -11.5 eV per formula unit
* volume: 1027 Å³/cell
* Fermi-level density of states: 11.898 states/eV per cell

abc: 8.4122 8.4122 17.4539
angles: 76.06 76.06 60.00
Closest atoms and distances in Å follow each position.
Fractional coordinates of all 20 atoms:
K  0.5839  0.5839  0.2484  6 I 3.48-3.52
K  0.4161  0.4161  0.7516  6 I 3.48-3.52
Rb  0.8570  0.8570  0.4290  9 I 3.79-4.23
Rb  0.1430  0.1430  0.5710  9 I 3.79-4.23
Rb  0.6893  0.6893  0.9321  3 I 3.78
Rb  0.3107  0.3107  0.0679  3 I 3.78
Hf  0.0000  0.0000  0.0000  6 I 2.90
Hf  0.5000  0.5000  0.5000  6 I 2.92
I  0.8610  0.3696  0.3998  1 Hf 2.92
I  0.3696  0.8610  0.3998  1 Hf 2.92
I  0.3696  0.3696  0.3998  1 Hf 2.92
I  0.1390  0.6304  0.6002  1 Hf 2.92
I  0.6304  0.1390  0.6002  1 Hf 2.92
I  0.6304  0.6304  0.6002  1 Hf 2.92
I  0.7107  0.1952  0.8989  1 Hf 2.90
I  0.1952  0.7107  0.8989  1 Hf 2.90
I  0.1952  0.1952  0.8989  1 Hf 2.90
I  0.2893  0.8048  0.1011  1 Hf 2.90
I  0.8048  0.2893  0.1011  1 Hf 2.90
I  0.8048  0.8048  0.1011  1 Hf 2.90